No. 1
{"formula": "La4AgHg", "functional": "PBE-GGA", "state": "relaxed", "lattice_angstrom": [[-0.037, 4.086, 3.646], [-11.258, -3.955, 4.317], [2.526, -3.221, 3.636]], "species": ["La", "La", "La", "La", "La", "La", "La", "La", "Ag", "Ag", "Hg", "Hg"], "frac_coords": [[0.000, 0.650, 0.000], [0.500, 0.150, 0.000], [0.500, 0.350, 0.500], [0.000, 0.850, 0.500], [0.000, 0.350, 0.000], [0.500, 0.850, 0.000], [0.500, 0.650, 0.500], [0.000, 0.150, 0.500], [0.500, 0.000, 0.500], [0.000, 0.500, 0.500], [0.000, 0.000, 0.000], [0.500, 0.500, 0.000]], "de_polymorph_ev_per_atom": 0.002, "final_energy_ev_per_atom": -4.048, "formation_enthalpy_0k_ev_per_atom": -0.238}


No. 2
{"formula": "La8AgHg2", "functional": "PBE-GGA", "state": "relaxed", "lattice_angstrom": [[-2.147, -0.268, -4.907], [6.618, -0.777, -2.853], [-2.362, -8.719, 4.440]], "species": ["La", "La", "La", "La", "La", "La", "La", "La", "Ag", "Hg", "Hg"], "frac_coords": [[0.412, 0.535, 0.823], [0.665, 0.993, 0.329], [0.799, 0.685, 0.599], [0.984, 0.230, 0.969], [0.201, 0.315, 0.401], [0.335, 0.007, 0.671], [0.588, 0.465, 0.177], [0.016, 0.770, 0.031], [0.500, 0.000, 0.000], [0.825, 0.274, 0.651], [0.175, 0.726, 0.349]], "final_energy_ev_per_atom": -4.107, "formation_enthalpy_0k_ev_per_atom": -0.210}


No. 3
{"formula": "La2AgHg3", "functional": "PBE-GGA", "state": "relaxed", "lattice_angstrom": [[6.117, -0.926, 0.000], [-1.163, 6.076, 0.000], [-2.477, -2.575, 8.718]], "species": ["La", "La", "La", "La", "Ag", "Ag", "Hg", "Hg", "Hg", "Hg", "Hg", "Hg"], "frac_coords": [[0.250, 0.750, 0.500], [0.750, 0.750, 0.000], [0.750, 0.250, 0.500], [0.250, 0.250, 0.000], [0.667, 0.667, 0.333], [0.333, 0.333, 0.667], [0.339, 0.831, 0.169], [0.169, 0.661, 0.831], [0.661, 0.169, 0.831], [0.831, 0.339, 0.169], [0.169, 0.169, 0.338], [0.831, 0.831, 0.662]], "final_energy_ev_per_atom": -2.726, "formation_enthalpy_0k_ev_per_atom": -0.457}


Copy entry 1 word for word.
{"formula": "La4AgHg", "functional": "PBE-GGA", "state": "relaxed", "lattice_angstrom": [[-0.037, 4.086, 3.646], [-11.258, -3.955, 4.317], [2.526, -3.221, 3.636]], "species": ["La", "La", "La", "La", "La", "La", "La", "La", "Ag", "Ag", "Hg", "Hg"], "frac_coords": [[0.000, 0.650, 0.000], [0.500, 0.150, 0.000], [0.500, 0.350, 0.500], [0.000, 0.850, 0.500], [0.000, 0.350, 0.000], [0.500, 0.850, 0.000], [0.500, 0.650, 0.500], [0.000, 0.150, 0.500], [0.500, 0.000, 0.500], [0.000, 0.500, 0.500], [0.000, 0.000, 0.000], [0.500, 0.500, 0.000]], "de_polymorph_ev_per_atom": 0.002, "final_energy_ev_per_atom": -4.048, "formation_enthalpy_0k_ev_per_atom": -0.238}